Record 1
# Tb14SmY, relaxed, DFT PBE-GGA
# Total magnetic moment: 0.000 Bohr magnetons per cell
# Volume: 1024.6 Å³/cell
# Uncorrected energy: -4.7504 eV/atom
# Formation energy: 0.000 eV per atom
data_Tb14SmY
_symmetry_space_group_name_H-M 'A m m 2'
_symmetry_Int_Tables_number 38
_cell_length_a 11.530
_cell_length_b 7.165
_cell_length_c 12.403
_cell_angle_alpha 90.00
_cell_angle_beta 90.00
_cell_angle_gamma 90.00
loop_
_symmetry_equiv_pos_as_xyz
'x,y,z'
'-x,-y,z'
'-x,y,z'
'x,-y,z'
'x,y+1/2,z+1/2'
'-x,-y+1/2,z+1/2'
'-x,y+1/2,z+1/2'
'x,-y+1/2,z+1/2'
loop_
_atom_site_label
_atom_site_type_symbol
_atom_site_fract_x
_atom_site_fract_y
_atom_site_fract_z
Tb1 Tb 0.000 0.000 0.000
Tb2 Tb 0.000 0.000 0.500
Tb3 Tb 0.000 0.250 0.250
Tb4 Tb 0.249 0.000 0.333
Tb5 Tb 0.249 0.250 0.083
Tb6 Tb 0.250 0.000 0.833
Tb7 Tb 0.500 0.250 0.416
Sm1 Sm 0.500 0.000 0.166
Y1 Y 0.500 0.000 0.666

Record 2
# TbSm5Y4, relaxed, DFT PBE-GGA
# Total magnetic moment: 0.000 Bohr magnetons per cell
# Volume: 347.6 Å³/cell
# Uncorrected energy: -5.1886 eV/atom
# Formation energy: 0.220 eV per atom
data_TbSm5Y4
_symmetry_space_group_name_H-M 'P -1'
_symmetry_Int_Tables_number 2
_cell_length_a 3.574
_cell_length_b 9.224
_cell_length_c 11.032
_cell_angle_alpha 102.85
_cell_angle_beta 90.04
_cell_angle_gamma 101.09
loop_
_symmetry_equiv_pos_as_xyz
'x,y,z'
'-x,-y,-z'
loop_
_atom_site_label
_atom_site_type_symbol
_atom_site_fract_x
_atom_site_fract_y
_atom_site_fract_z
Tb1 Tb 0.000 0.000 0.000
Sm1 Sm 0.000 0.000 0.500
Sm2 Sm 0.332 0.663 0.478
Sm3 Sm 0.338 0.674 0.081
Y1 Y 0.176 0.356 0.222
Y2 Y 0.478 0.956 0.742

Record 3
# Tb3Sm4Y5, relaxed, DFT PBE-GGA
# Total magnetic moment: 0.000 Bohr magnetons per cell
# Volume: 391.4 Å³/cell
# Uncorrected energy: -5.4079 eV/atom
# Formation energy: 0.016 eV per atom
# Offset from the most stable computed form: 0 meV/atom
data_Tb3Sm4Y5
_symmetry_space_group_name_H-M 'P -1'
_symmetry_Int_Tables_number 2
_cell_length_a 6.214
_cell_length_b 7.175
_cell_length_c 8.779
_cell_angle_alpha 90.08
_cell_angle_beta 90.03
_cell_angle_gamma 90.10
loop_
_symmetry_equiv_pos_as_xyz
'x,y,z'
'-x,-y,-z'
loop_
_atom_site_label
_atom_site_type_symbol
_atom_site_fract_x
_atom_site_fract_y
_atom_site_fract_z
Tb1 Tb 0.000 0.000 0.000
Tb2 Tb 0.167 0.751 0.668
Sm1 Sm 0.166 0.250 0.668
Sm2 Sm 0.333 0.500 0.334
Y1 Y 0.000 0.500 0.000
Y2 Y 0.332 0.000 0.332
Y3 Y 0.499 0.751 0.000